*a*
VASP calculation (GGA-PBE) on a geometry-optimized MnGaTe3 structure.

DOS(E_F): 0.409 states/eV/atom

Unit cell a=4.065 b=7.253 c=10.945 alpha=94.72 beta=90.00 gamma=106.27
Positions (direct):
Ga 0.064 0.128 0.294
Ga 0.936 0.872 0.706
Te 0.872 0.744 0.265
Te 0.140 0.279 0.067
Mn 0.342 0.684 0.099
Te 0.128 0.256 0.735
Mn 0.658 0.316 0.901
Te 0.636 0.272 0.420
Te 0.860 0.721 0.933
Te 0.364 0.728 0.580

=====

*b*
VASP calculation (GGA-PBE) on a geometry-optimized MnGaTe3 structure.

DOS(E_F): 2.996 states/eV/atom

Unit cell a=5.562 b=5.562 c=5.562 alpha=90.00 beta=90.00 gamma=90.00
Positions (direct):
Te 0.000 0.000 0.500
Te 0.000 0.500 0.000
Ga 0.000 0.000 0.000
Mn 0.500 0.500 0.500
Te 0.500 0.000 0.000

=====

The structure with the most favorable energy is *a*; the runner-up is 1.411 eV/atom above it.

=====

*a*
VASP calculation (GGA-PBE) on a geometry-optimized MnTl3Ga structure.

DOS(E_F): 0.898 states/eV/atom

Unit cell a=5.155 b=5.155 c=5.155 alpha=90.00 beta=90.00 gamma=90.00
Positions (direct):
Tl 0.000 0.500 0.000
Ga 0.500 0.500 0.500
Tl 0.000 0.000 0.500
Tl 0.500 0.000 0.000
Mn 0.000 0.000 0.000

=====

*b*
VASP calculation (GGA-PBE) on a geometry-optimized MnTl3Ga structure.

DOS(E_F): 0.717 states/eV/atom

Unit cell a=5.505 b=5.505 c=5.505 alpha=90.00 beta=90.00 gamma=90.00
Positions (direct):
Mn 0.500 0.500 0.500
Tl 0.000 0.000 0.500
Ga 0.000 0.000 0.000
Tl 0.000 0.500 0.000
Tl 0.500 0.000 0.000

=====

The structure with the most favorable energy is *a*; the runner-up is 0.170 eV/atom above it.

=====

*a*
VASP calculation (GGA-PBE) on a geometry-optimized MnV3Ga structure.

DOS(E_F): 0.715 states/eV/atom

Unit cell a=4.132 b=4.867 c=7.320 alpha=100.74 beta=90.00 gamma=115.12
Positions (direct):
V 0.848 0.697 0.442
V 0.930 0.860 0.138
Mn 0.650 0.301 0.037
Ga 0.453 0.906 0.663
V 0.152 0.303 0.558
Ga 0.547 0.094 0.337
V 0.764 0.528 0.762
V 0.070 0.140 0.862
V 0.236 0.472 0.238
Mn 0.350 0.699 0.963

=====

*b*
VASP calculation (GGA-PBE) on a geometry-optimized MnV3Ga structure.

DOS(E_F): 1.558 states/eV/atom

Unit cell a=4.507 b=4.507 c=4.507 alpha=90.00 beta=90.00 gamma=90.00
Positions (direct):
V 0.500 0.000 0.000
V 0.000 0.000 0.500
Mn 0.500 0.500 0.500
Ga 0.000 0.000 0.000
V 0.000 0.500 0.000

=====

*c*
VASP calculation (GGA-PBE) on a geometry-optimized MnV3Ga structure.

DOS(E_F): 0.909 states/eV/atom

Unit cell a=4.294 b=4.294 c=4.294 alpha=90.00 beta=90.00 gamma=90.00
Positions (direct):
V 0.000 0.000 0.500
Mn 0.000 0.000 0.000
Ga 0.500 0.500 0.500
V 0.000 0.500 0.000
V 0.500 0.000 0.000

=====

The structure with the most favorable energy is *a*; the runner-up is 0.761 eV/atom above it.

=====

*a*
VASP calculation (GGA-PBE) on a geometry-optimized Mn2V2Ga structure.

DOS(E_F): 0.775 states/eV/atom

Unit cell a=4.100 b=4.848 c=6.405 alpha=103.54 beta=90.00 gamma=90.00
Positions (direct):
V 0.223 0.022 0.819
V 0.723 0.514 0.301
Ga 0.223 0.843 0.402
Mn 0.223 0.625 0.983
Ga 0.723 0.941 0.095
Mn 0.223 0.257 0.207
V 0.723 0.357 0.895
Mn 0.723 0.743 0.688
V 0.223 0.421 0.601
Mn 0.723 0.147 0.514

=====

*b*
VASP calculation (GGA-PBE) on a geometry-optimized Mn2V2Ga structure.

DOS(E_F): 0.754 states/eV/atom

Unit cell a=4.077 b=3.999 c=7.938 alpha=90.00 beta=104.87 gamma=90.00
Positions (direct):
Mn 0.415 0.000 0.833
V 0.329 0.500 0.661
Mn 0.831 0.000 0.666
Mn 0.914 0.500 0.831
Ga 0.016 0.000 0.035
V 0.519 0.500 0.041
V 0.126 0.500 0.255
Mn 0.227 0.000 0.457
Ga 0.729 0.500 0.461
V 0.625 0.000 0.254

=====

*c*
VASP calculation (GGA-PBE) on a geometry-optimized Mn2V2Ga structure.

DOS(E_F): 0.928 states/eV/atom

Unit cell a=6.444 b=2.929 c=9.152 alpha=90.00 beta=134.22 gamma=90.00
Positions (direct):
V 0.325 0.500 0.741
Mn 0.102 0.500 0.314
Ga 0.514 0.000 0.616
Mn 0.725 0.000 0.016
V 0.936 0.000 0.431
Mn 0.102 0.000 0.814
V 0.325 0.000 0.241
Mn 0.725 0.500 0.516
Ga 0.514 0.500 0.116
V 0.936 0.500 0.931

=====

*d*
VASP calculation (GGA-PBE) on a geometry-optimized Mn2V2Ga structure.

DOS(E_F): 0.709 states/eV/atom

Unit cell a=4.131 b=4.844 c=6.313 alpha=77.42 beta=90.00 gamma=90.00
Positions (direct):
V 0.723 0.471 0.778
Mn 0.723 0.699 0.402
Ga 0.723 0.877 0.999
Mn 0.223 0.575 0.095
Ga 0.223 0.385 0.498
V 0.223 0.805 0.706
V 0.723 0.303 0.215
Mn 0.223 0.968 0.300
Mn 0.723 0.078 0.592
V 0.223 0.202 0.922

=====

The structure with the most favorable energy is *a*; the runner-up is 0.011 eV/atom above it.

=====

*a*
VASP calculation (GGA-PBE) on a geometry-optimized Mn2V2Ga structure.

DOS(E_F): 0.825 states/eV/atom

Unit cell a=4.110 b=4.854 c=6.331 alpha=102.35 beta=90.00 gamma=90.00
Positions (direct):
Ga 0.463 0.372 0.498
V 0.963 0.285 0.782
Ga 0.963 0.879 0.001
Mn 0.463 0.192 0.095
Mn 0.963 0.068 0.402
Mn 0.963 0.675 0.592
V 0.463 0.802 0.299
Mn 0.963 0.465 0.212
V 0.463 0.950 0.708
V 0.463 0.551 0.917

=====

*b*
VASP calculation (GGA-PBE) on a geometry-optimized Mn2V2Ga structure.

DOS(E_F): 1.014 states/eV/atom

Unit cell a=4.131 b=4.131 c=4.649 alpha=90.00 beta=90.00 gamma=120.00
Positions (direct):
V 0.333 0.667 0.650
V 0.667 0.333 0.350
Ga 0.000 0.000 0.000
Mn 0.667 0.333 0.825
Mn 0.333 0.667 0.175

=====

The structure with the most favorable energy is *a*; the runner-up is 0.259 eV/atom above it.

=====

*a*
VASP calculation (GGA-PBE) on a geometry-optimized Mn2V2Ga structure.

DOS(E_F): 0.939 states/eV/atom

Unit cell a=4.811 b=4.883 c=5.793 alpha=72.79 beta=72.68 gamma=86.64
Positions (direct):
V 0.427 0.388 0.892
V 0.847 0.177 0.604
Mn 0.633 0.780 0.509
V 0.241 0.944 0.310
Mn 0.026 0.596 0.198
Ga 0.842 0.172 0.099
Ga 0.425 0.389 0.401
Mn 0.645 0.772 0.988
V 0.247 0.957 0.802
Mn 0.030 0.585 0.704

=====

*b*
VASP calculation (GGA-PBE) on a geometry-optimized Mn2V2Ga structure.

DOS(E_F): 0.785 states/eV/atom

Unit cell a=4.158 b=5.146 c=6.304 alpha=97.76 beta=109.25 gamma=90.00
Positions (direct):
Mn 0.168 0.956 0.358
V 0.373 0.376 0.769
V 0.351 0.858 0.724
V 0.960 0.573 0.942
Ga 0.971 0.073 0.966
Mn 0.562 0.297 0.148
Mn 0.157 0.463 0.338
V 0.570 0.793 0.164
Mn 0.767 0.673 0.558
Ga 0.757 0.176 0.538

=====

*c*
VASP calculation (GGA-PBE) on a geometry-optimized Mn2V2Ga structure.

DOS(E_F): 0.721 states/eV/atom

Unit cell a=2.586 b=4.014 c=12.147 alpha=90.00 beta=98.73 gamma=90.00
Positions (direct):
Mn 0.046 0.500 0.836
Ga 0.690 0.000 0.726
Mn 0.804 0.500 0.023
V 0.404 0.000 0.924
Mn 0.804 0.000 0.523
V 0.404 0.500 0.424
Ga 0.690 0.500 0.226
V 0.174 0.000 0.122
Mn 0.046 0.000 0.336
V 0.174 0.500 0.622

=====

The structure with the most favorable energy is *a*; the runner-up is 0.015 eV/atom above it.

=====

*a*
VASP calculation (GGA-PBE) on a geometry-optimized MnZn4Ga structure.

DOS(E_F): 0.309 states/eV/atom

Unit cell a=5.103 b=5.103 c=5.103 alpha=60.00 beta=60.00 gamma=60.00
Positions (direct):
Zn 0.626 0.123 0.626
Zn 0.626 0.626 0.123
Mn 0.000 0.000 0.000
Zn 0.123 0.626 0.626
Zn 0.626 0.626 0.626
Ga 0.250 0.250 0.250

=====

*b*
VASP calculation (GGA-PBE) on a geometry-optimized MnZn4Ga structure.

DOS(E_F): 0.364 states/eV/atom

Unit cell a=5.452 b=4.312 c=8.773 alpha=90.00 beta=90.00 gamma=90.02
Positions (direct):
Zn 0.748 0.004 0.250
Zn 0.740 0.501 0.001
Ga 0.735 0.996 0.750
Mn 0.502 0.496 0.750
Zn 0.260 0.499 0.501
Mn 0.498 0.504 0.250
Zn 0.260 0.499 0.999
Zn 0.003 0.495 0.750
Zn 0.740 0.501 0.499
Zn 0.997 0.505 0.250
Zn 0.252 0.996 0.750
Ga 0.265 0.004 0.250

=====

The structure with the most favorable energy is *b*; the runner-up is 0.051 eV/atom above it.

=====

*a*
VASP calculation (GGA-PBE) on a geometry-optimized MnZn6Ga structure.

DOS(E_F): 0.422 states/eV/atom

Unit cell a=3.872 b=7.723 c=5.538 alpha=134.20 beta=90.00 gamma=90.00
Positions (direct):
Zn 0.500 0.129 0.753
Zn 0.500 0.623 0.753
Zn 0.500 0.133 0.266
Zn 0.000 0.387 0.773
Zn 0.000 0.874 0.242
Ga 0.000 0.858 0.715
Mn 0.500 0.628 0.255
Zn 0.000 0.369 0.242

=====

*b*
VASP calculation (GGA-PBE) on a geometry-optimized MnZn6Ga structure.

DOS(E_F): 0.513 states/eV/atom

Unit cell a=5.232 b=5.232 c=5.232 alpha=86.01 beta=86.01 gamma=86.01
Positions (direct):
Ga 0.000 0.000 0.000
Zn 0.162 0.532 0.162
Zn 0.532 0.162 0.162
Mn 0.500 0.500 0.500
Zn 0.838 0.838 0.468
Zn 0.468 0.838 0.838
Zn 0.162 0.162 0.532
Zn 0.838 0.468 0.838

=====

The structure with the most favorable energy is *a*; the runner-up is 0.232 eV/atom above it.